This record from Alexandria describes a relaxed structure of NpCdFeO6. The functional is GGA+U.

Unit cell a=4.9458 b=4.9458 c=9.7078 alpha=90.00 beta=90.00 gamma=90.00
Last column: nearest neighbours and their distance in Å.
Atoms (fractional coordinates):
O 0.7907 0.2093 0.8159  1 Np 2.04, 1 Fe 2.05
O 0.7082 0.7082 0.6858  1 Np 2.03, 1 Fe 2.05
O 0.3222 0.3222 0.9990  1 Np 2.04, 1 Fe 2.06, 1 Cd 2.25
O 0.1778 0.8222 0.4990  1 Np 2.04, 1 Fe 2.06, 1 Cd 2.25
O 0.8222 0.1778 0.4990  1 Np 2.04, 1 Fe 2.06, 1 Cd 2.25
O 0.6778 0.6778 0.9990  1 Np 2.04, 1 Fe 2.06, 1 Cd 2.25
O 0.7918 0.2082 0.1858  1 Np 2.03, 1 Fe 2.05
O 0.2907 0.2907 0.3159  1 Np 2.04, 1 Fe 2.05
O 0.2082 0.7918 0.1858  1 Np 2.03, 1 Fe 2.05
O 0.7093 0.7093 0.3159  1 Np 2.04, 1 Fe 2.05
O 0.2918 0.2918 0.6858  1 Np 2.03, 1 Fe 2.05
O 0.2093 0.7907 0.8159  1 Np 2.04, 1 Fe 2.05
Fe 0.0000 0.0000 0.6678  6 O 2.05-2.06
Fe 0.5000 0.5000 0.1678  6 O 2.05-2.06
Cd 0.0000 0.0000 0.9986  6 O 2.25-2.33
Cd 0.5000 0.5000 0.4986  6 O 2.25-2.33
Np 0.5000 0.5000 0.8321  6 O 2.03-2.04
Np 0.0000 0.0000 0.3321  6 O 2.03-2.04

## Properties
**Theoretical density**: 7.0 Mg/m³
**Calculated total energy**: -132.12 eV for the cell shown
**Magnetization**: 4.99 μB per formula unit
**Calculated volume**: 13.192 A^3/atom